# NiWIO2, PBEsol geometry, DFT meta-GGA SCAN
# - DOS(E_F) (states/eV per cell) = 3.295
# - formation energy from raw total energies (meV per atom) = 830
data_NiWIO2
_chemical_formula_sum 'Ni1 W1 I1 O2'
_space_group_name_H-M_alt 'P 4/m m m'
_space_group_IT_number 123
_space_group_name_Hall '-P 4 2'
_cell_length_a 3.837
_cell_length_b 3.837
_cell_length_c 4.857
_cell_angle_alpha 90.00
_cell_angle_beta 90.00
_cell_angle_gamma 90.00
loop_
_atom_site_label
_atom_site_type_symbol
_atom_site_fract_x
_atom_site_fract_y
_atom_site_fract_z
Ni1 Ni 0.000 0.000 0.000
W1 W 0.500 0.500 0.500
I1 I 0.000 0.000 0.500
O1 O 0.000 0.500 0.000